# 1
A geometry-optimized Y3Ni structure, computed with GGA-PBE.

Geometry as POSCAR:
```
Y3Ni
1.0
-5.824 5.824 3.086
5.824 -5.824 3.086
5.824 5.824 -3.086
Y Ni
12 4
direct
0.096 0.403 0.501
0.109 0.250 0.859
0.249 0.750 0.902
0.250 0.152 0.500
0.391 0.250 0.141
0.404 0.904 0.307
0.597 0.097 0.693
0.652 0.751 0.500
0.750 0.609 0.859
0.750 0.891 0.141
0.848 0.348 0.098
0.903 0.596 0.499
0.249 0.041 0.791
0.250 0.458 0.209
0.542 0.751 0.792
0.959 0.750 0.208
```

Calculated values
Calculated total energy, eV per atom: -6.42

=====

# 2
A geometry-optimized NaDy2Er structure, computed with GGA-PBE.

Geometry as POSCAR:
```
NaDy2Er
1.0
3.510 0.000 0.000
0.000 3.510 0.000
0.000 0.000 10.527
Na Dy Er
1 2 1
direct
0.000 0.000 0.000
0.500 0.500 0.271
0.500 0.500 0.729
0.000 0.000 0.500
```

Calculated values
E above lowest polymorph, kJ/mol of formula units: 0
Calculated total energy, eV per atom: -3.64

=====

no.,formation energy from the elements (eV per formula unit)
1,-0.52
2,0.52